No. 1
DFT (PBE-GGA) results for an optimized crystal structure of BeRePb.

Cell: 5.3751 5.3751 5.3751 Å, 145.26 145.26 49.95°
Fractional coordinates of all 3 atoms:
Be 0.0000 0.0000 0.0000
Re 0.5718 0.5718 0.0000
Pb 0.2765 0.2765 0.0000

Values from the calculation:
SG: I4mm, No. 107
E_form: 0.5905 eV/atom

No. 2
DFT (PBE-GGA) results for an optimized crystal structure of TiIrC3.

Cell: 3.9454 3.9454 3.9454 Å, 90.00 90.00 90.00°
Fractional coordinates of all 5 atoms:
Ti 0.0000 0.0000 0.0000
Ir 0.5000 0.5000 0.5000
C 0.0000 0.0000 0.5000
C 0.0000 0.5000 0.0000
C 0.5000 0.0000 0.0000

Values from the calculation:
SG: Pm-3m, No. 221
E_form: 2.3608 eV/atom

No. 3
DFT (PBE-GGA) results for an optimized crystal structure of Gd2DySc.

Cell: 3.5262 3.5262 9.6462 Å, 90.00 90.00 90.00°
Fractional coordinates of all 4 atoms:
Gd 0.0000 0.0000 0.2382
Gd 0.0000 0.0000 0.7618
Dy 0.5000 0.5000 0.5000
Sc 0.5000 0.5000 0.0000

Values from the calculation:
SG: P4/mmm, No. 123
E_form: 0.0484 eV/atom

No. 4
DFT (PBE-GGA) results for an optimized crystal structure of KRbHg3.

Cell: 6.8891 8.2599 7.0644 Å, 90.00 103.27 90.00°
Fractional coordinates of all 10 atoms:
K 0.1658 0.2500 0.4003
K 0.8342 0.7500 0.5997
Rb 0.2276 0.7500 0.2074
Rb 0.7724 0.2500 0.7926
Hg 0.3107 0.2500 0.9534
Hg 0.3495 0.5650 0.7312
Hg 0.3495 0.9350 0.7312
Hg 0.6505 0.0650 0.2688
Hg 0.6505 0.4350 0.2688
Hg 0.6893 0.7500 0.0466

Values from the calculation:
SG: P2_1/m, No. 11
E_form: -0.2275 eV/atom

No. 5
DFT (PBE-GGA) results for an optimized crystal structure of Na2Tl4Cd2In.

Cell: 6.0119 6.9984 7.0389 Å, 93.74 110.77 105.68°
Fractional coordinates of all 9 atoms:
Na 0.0216 0.1570 0.2665
Na 0.9784 0.8430 0.7335
Tl 0.3411 0.5750 0.6125
Tl 0.4874 0.2256 0.9073
Tl 0.5125 0.7744 0.0927
Tl 0.6589 0.4250 0.3875
Cd 0.0019 0.6491 0.1640
Cd 0.9981 0.3509 0.8360
In 0.5000 0.0000 0.5000

Values from the calculation:
SG: P-1, No. 2
E_form: -0.0116 eV/atom

No. 6
DFT (PBE-GGA) results for an optimized crystal structure of NaSnBr2Cl.

Cell: 7.3350 7.3350 9.5536 Å, 90.00 90.00 146.40°
Fractional coordinates of all 10 atoms:
Na 0.0000 0.0000 0.0000
Na 0.0000 0.0000 0.5000
Sn 0.2672 0.7328 0.7500
Sn 0.7328 0.2672 0.2500
Br 0.3529 0.6471 0.0588
Br 0.3529 0.6471 0.4412
Br 0.6471 0.3529 0.5588
Br 0.6471 0.3529 0.9412
Cl 0.0978 0.9022 0.2500
Cl 0.9022 0.0978 0.7500

Values from the calculation:
ΔE_f (raw): -1.141 eV per atom
SG: Cmcm, No. 63

No. 7
DFT (PBE-GGA) results for an optimized crystal structure of Tl3AsSe.

Cell: 5.5733 5.5733 5.5733 Å, 90.00 90.00 90.00°
Fractional coordinates of all 5 atoms:
Tl 0.0000 0.0000 0.5000
Tl 0.0000 0.5000 0.0000
Tl 0.5000 0.0000 0.0000
As 0.0000 0.0000 0.0000
Se 0.5000 0.5000 0.5000

Values from the calculation:
ΔE_f (raw): 0.169 eV per atom
SG: Pm-3m, No. 221

No. 8
DFT (PBE-GGA) results for an optimized crystal structure of Be2Fe2Sb.

Cell: 4.7031 4.7031 4.7031 Å, 130.06 130.06 73.31°
Fractional coordinates of all 5 atoms:
Be 0.1501 0.1501 0.0000
Be 0.8499 0.8499 0.0000
Fe 0.2500 0.7500 0.5000
Fe 0.7500 0.2500 0.5000
Sb 0.5000 0.5000 0.0000

Values from the calculation:
ΔE_f (raw): 0.376 eV per atom
SG: I4/mmm, No. 139

no.,DOS at the Fermi energy (states/eV/atom)
1,1.058
2,0.708
3,1.866
4,0.524
5,0.371
6,0.000
7,0.339
8,0.485